Density functional theory data (PBE) for a relaxed CaErNi2P2 crystal.

Volume ... 103.6 Å³ per cell
Space group ... P-3m1
DOS at the Fermi energy ... 0.512 states/eV per atom
ΔH_f (0 K) ... -1.090 eV per atom
Total magnetic moment ... 0.00 μB/cell
E_tot ... -35.5 eV/cell

Cell: 3.8779 3.8779 7.9578 Å, 90.00 90.00 120.00°
Element x y z (fractional)
1 Ni 0.3333 0.6667 0.7372
2 Ni 0.6667 0.3333 0.2628
3 Ca 0.0000 0.0000 0.0000
4 P 0.6667 0.3333 0.7395
5 Er 0.0000 0.0000 0.5000
6 P 0.3333 0.6667 0.2605

=====

Density functional theory data (PBE) for a relaxed CaErNiPd crystal.

Volume ... 81.2 Å³ per cell
Space group ... F-43m
DOS at the Fermi energy ... 0.811 states/eV per atom
ΔH_f (0 K) ... -0.477 eV per atom
Total magnetic moment ... 0.00 μB/cell
E_tot ... -19.4 eV/cell

Cell: 4.8614 4.8614 4.8614 Å, 60.00 60.00 60.00°
Element x y z (fractional)
1 Er 0.5000 0.5000 0.5000
2 Ca 0.0000 0.0000 0.0000
3 Ni 0.2500 0.2500 0.2500
4 Pd 0.7500 0.7500 0.7500

=====

Density functional theory data (PBE) for a relaxed CaErNiPt crystal.

Volume ... 80.3 Å³ per cell
Space group ... F-43m
DOS at the Fermi energy ... 0.722 states/eV per atom
ΔH_f (0 K) ... -0.650 eV per atom
Total magnetic moment ... 0.00 μB/cell
E_tot ... -21.0 eV/cell

Cell: 4.8416 4.8416 4.8416 Å, 60.00 60.00 60.00°
Element x y z (fractional)
1 Ca 0.5000 0.5000 0.5000
2 Er 0.0000 0.0000 0.0000
3 Ni 0.2500 0.2500 0.2500
4 Pt 0.7500 0.7500 0.7500

=====

Density functional theory data (PBE) for a relaxed CaErTlNi crystal.

Volume ... 94.6 Å³ per cell
Space group ... F-43m
DOS at the Fermi energy ... 0.488 states/eV per atom
ΔH_f (0 K) ... -0.184 eV per atom
Total magnetic moment ... 0.00 μB/cell
E_tot ... -15.4 eV/cell

Cell: 5.1139 5.1139 5.1139 Å, 60.00 60.00 60.00°
Element x y z (fractional)
1 Er 0.0000 0.0000 0.0000
2 Tl 0.2500 0.2500 0.2500
3 Ca 0.5000 0.5000 0.5000
4 Ni 0.7500 0.7500 0.7500

=====

Density functional theory data (PBE) for a relaxed CaErNpO6 crystal.

ΔE_f (raw) ... -2.992 eV/atom
Volume ... 274.1 Å³ per cell
Space group ... P-31c
Total magnetic moment ... 0.00 μB/cell
E_tot ... -152.4 eV/cell

Cell: 5.7540 5.7540 9.5609 Å, 90.00 90.00 120.00°
Element x y z (fractional)
1 O 0.3445 0.9721 0.6383
2 O 0.0279 0.6555 0.8617
3 Er 0.6667 0.3333 0.7500
4 Ca 0.0000 0.0000 0.5000
5 O 0.3724 0.3445 0.3617
6 O 0.6276 0.6555 0.6383
7 O 0.3724 0.0279 0.1383
8 O 0.0279 0.3725 0.6383
9 O 0.3445 0.3725 0.8617
10 O 0.6555 0.6275 0.1383
11 O 0.9721 0.3445 0.1383
12 O 0.6555 0.0279 0.3617
13 O 0.9721 0.6275 0.3617
14 Np 0.6667 0.3333 0.2500
15 Er 0.3333 0.6667 0.2500
16 Ca 0.0000 0.0000 0.0000
17 O 0.6276 0.9721 0.8617
18 Np 0.3333 0.6667 0.7500

=====

Density functional theory data (PBE) for a relaxed Ca2ErNpP4 crystal.

Volume ... 186.7 Å³ per cell
Space group ... P2/m
DOS at the Fermi energy ... 0.737 states/eV per atom
ΔH_f (0 K) ... -1.145 eV per atom
Total magnetic moment ... 1.99 μB/cell
E_tot ... -52.3 eV/cell

Cell: 4.0519 6.9459 7.0218 Å, 109.15 90.00 90.00°
Element x y z (fractional)
1 P 0.5000 0.7653 0.7750
2 Np 0.0000 0.0000 0.0000
3 P 0.0000 0.7537 0.2276
4 P 0.5000 0.2347 0.2250
5 Ca 0.0000 0.5000 0.5000
6 P 0.0000 0.2463 0.7724
7 Ca 0.5000 0.0000 0.5000
8 Er 0.5000 0.5000 0.0000

=====

Question: What is the volume in the fifth record?
Answer: 274.1 Å³ per cell